[1]
First-principles (PBEsol) data for crystalline TcRhSe at its relaxed geometry, as listed in Alexandria via LeMat-Bulk.

Cell: 4.1656 4.1656 4.1656 Å, 60.00 60.00 60.00°
Closest atoms and distances in Å follow each position.
Fractional coordinates of all 3 atoms:
1 Tc 0.5000 0.5000 0.5000  4 Rh 2.55
2 Rh 0.2500 0.2500 0.2500  4 Tc 2.55, 4 Se 2.55
3 Se 0.0000 0.0000 0.0000  4 Rh 2.55

Computed properties:
As for the space group: F-43m. As for the density of states at the Fermi level: 1.409 states/eV per atom.


[2]
First-principles (PBEsol) data for crystalline MgGa at its relaxed geometry, as listed in Alexandria via LeMat-Bulk.

Cell: 3.1571 3.1571 4.7794 Å, 70.71 70.71 60.00°
Closest atoms and distances in Å follow each position.
Fractional coordinates of all 2 atoms:
1 Ga 0.0000 0.0000 0.0000  6 Mg 2.86, 6 Ga 3.16
2 Mg 0.5000 0.5000 0.5000  6 Ga 2.86, 6 Mg 3.16

Computed properties:
As for the space group: R-3m. As for the density of states at the Fermi level: 0.356 states/eV per atom. Its formation energy is -0.112 eV per atom.


[3]
First-principles (PBEsol) data for crystalline FePb2 at its relaxed geometry, as listed in Alexandria via LeMat-Bulk.

Cell: 3.4394 3.4394 6.5247 Å, 90.00 90.00 120.00°
Closest atoms and distances in Å follow each position.
Fractional coordinates of all 3 atoms:
1 Pb 0.3333 0.6667 0.2852  3 Fe 2.72
2 Pb 0.6667 0.3333 0.7148  3 Fe 2.72
3 Fe 0.0000 0.0000 0.0000  6 Pb 2.72

Computed properties:
As for the space group: P-3m1. As for the density of states at the Fermi level: 0.809 states/eV per atom. Its formation energy is 0.494 eV per atom.


| no. | final energy (eV/cell) |
| --- | --- |
| 1 | -21.7 |
| 2 | -5.3 |
| 3 | -15.5 |